First-principles (SCAN) data for a PBEsol-optimized structure of ZnBr3O, as listed in the Alexandria database.

a b c (Å): 4.6627 4.6627 4.6627
angles (deg): 90.00 90.00 90.00
Atoms (fractional coordinates):
Zn 0.0000 0.0000 0.0000
Br 0.0000 0.5000 0.5000
Br 0.5000 0.0000 0.5000
Br 0.5000 0.5000 0.0000
O 0.5000 0.5000 0.5000

* formation energy from raw total energies: 0.51 eV/atom
* magnetization: 0.000 μB/atom

***

First-principles (SCAN) data for a PBEsol-optimized structure of CrSbBr3, as listed in the Alexandria database.

a b c (Å): 5.5514 5.5514 5.5514
angles (deg): 90.00 90.00 90.00
Atoms (fractional coordinates):
Cr 0.0000 0.0000 0.0000
Sb 0.5000 0.5000 0.5000
Br 0.0000 0.5000 0.5000
Br 0.5000 0.0000 0.5000
Br 0.5000 0.5000 0.0000

* formation energy from raw total energies: 0.08 eV/atom
* magnetization: 1.080 μB/atom

***

First-principles (SCAN) data for a PBEsol-optimized structure of TcBrN2O, as listed in the Alexandria database.

a b c (Å): 3.9705 3.9705 3.7114
angles (deg): 90.00 90.00 90.00
Atoms (fractional coordinates):
Tc 0.0000 0.0000 0.0000
Br 0.5000 0.5000 0.5000
N 0.0000 0.5000 0.5000
N 0.5000 0.0000 0.5000
O 0.5000 0.5000 0.0000

* formation energy from raw total energies: 2.07 eV/atom
* magnetization: 0.794 μB/atom

***

First-principles (SCAN) data for a PBEsol-optimized structure of KHIr3, as listed in the Alexandria database.

a b c (Å): 4.0635 4.0635 4.0635
angles (deg): 90.00 90.00 90.00
Atoms (fractional coordinates):
K 0.0000 0.0000 0.0000
H 0.5000 0.5000 0.5000
Ir 0.0000 0.5000 0.5000
Ir 0.5000 0.0000 0.5000
Ir 0.5000 0.5000 0.0000

* magnetization: 0.000 μB/atom
* uncorrected energy: -44.005 eV/atom

***

First-principles (SCAN) data for a PBEsol-optimized structure of La3InRu, as listed in the Alexandria database.

a b c (Å): 5.3829 5.3829 5.3829
angles (deg): 90.00 90.00 90.00
Atoms (fractional coordinates):
La 0.0000 0.0000 0.5000
La 0.0000 0.5000 0.0000
La 0.5000 0.0000 0.0000
In 0.5000 0.5000 0.5000
Ru 0.0000 0.0000 0.0000

* distance to the lowest polymorph of the same formula: 82.1 meV/atom
* ΔE_f: -0.45 eV per atom
* magnetization: 0.000 μB/atom

***

First-principles (SCAN) data for a PBEsol-optimized structure of CaMg14VO16, as listed in the Alexandria database.

a b c (Å): 4.2823 8.5119 8.5401
angles (deg): 90.00 90.00 90.00
Atoms (fractional coordinates):
Ca 0.0000 0.0000 0.0000
Mg 0.0000 0.2529 0.2528
Mg 0.0000 0.2529 0.7472
Mg 0.0000 0.5000 0.0000
Mg 0.0000 0.5000 0.5000
Mg 0.0000 0.7471 0.2528
Mg 0.0000 0.7471 0.7472
Mg 0.5000 0.0000 0.2548
Mg 0.5000 0.0000 0.7452
Mg 0.5000 0.2504 0.5000
Mg 0.5000 0.2553 0.0000
Mg 0.5000 0.5000 0.2507
Mg 0.5000 0.5000 0.7493
Mg 0.5000 0.7447 0.0000
Mg 0.5000 0.7496 0.5000
V 0.0000 0.0000 0.5000
O 0.0000 0.0000 0.2592
O 0.0000 0.0000 0.7408
O 0.0000 0.2539 0.5000
O 0.0000 0.2636 0.0000
O 0.0000 0.5000 0.2527
O 0.0000 0.5000 0.7473
O 0.0000 0.7364 0.0000
O 0.0000 0.7461 0.5000
O 0.5000 0.0000 0.0000
O 0.5000 0.0000 0.5000
O 0.5000 0.2497 0.2504
O 0.5000 0.2497 0.7496
O 0.5000 0.5000 0.0000
O 0.5000 0.5000 0.5000
O 0.5000 0.7503 0.2504
O 0.5000 0.7503 0.7496

* formation energy from raw total energies: -2.94 eV/atom
* distance to the lowest polymorph of the same formula: 2.3 meV/atom
* magnetization: 0.094 μB/atom

***

First-principles (SCAN) data for a PBEsol-optimized structure of Tl2InP, as listed in the Alexandria database.

a b c (Å): 6.2007 10.1954 3.0779
angles (deg): 90.00 90.20 90.00
Atoms (fractional coordinates):
Tl 0.2500 0.2500 0.0000
Tl 0.2500 0.7500 0.0000
Tl 0.7500 0.2500 0.0000
Tl 0.7500 0.7500 0.0000
In 0.0000 0.0000 0.5000
In 0.5000 0.5000 0.5000
P 0.0000 0.5000 0.5000
P 0.5000 0.0000 0.5000

* distance to the lowest polymorph of the same formula: 184.8 meV/atom
* ΔE_f: 0.32 eV per atom
* magnetization: 0.000 μB/atom

***

First-principles (SCAN) data for a PBEsol-optimized structure of SrY2W, as listed in the Alexandria database.

a b c (Å): 4.1742 4.8021 10.8289
angles (deg): 90.00 90.00 90.00
Atoms (fractional coordinates):
Sr 0.0000 0.0000 0.0000
Sr 0.5000 0.5000 0.0000
Y 0.0000 0.0000 0.4177
Y 0.0000 0.5000 0.6931
Y 0.5000 0.0000 0.6931
Y 0.5000 0.5000 0.4177
W 0.0000 0.5000 0.2252
W 0.5000 0.0000 0.2252

* distance to the lowest polymorph of the same formula: 0.0 meV/atom
* ΔE_f: 0.80 eV per atom
* magnetization: 0.027 μB/atom

***

First-principles (SCAN) data for a PBEsol-optimized structure of Y2BrCl, as listed in the Alexandria database.

a b c (Å): 6.8252 9.3085 3.5898
angles (deg): 90.00 118.52 90.00
Atoms (fractional coordinates):
Y 0.2500 0.2500 0.0000
Y 0.2500 0.7500 0.0000
Y 0.7500 0.2500 0.0000
Y 0.7500 0.7500 0.0000
Br 0.0000 0.0000 0.0000
Br 0.5000 0.5000 0.0000
Cl 0.0000 0.5000 0.0000
Cl 0.5000 0.0000 0.0000

* formation energy from raw total energies: -1.22 eV/atom
* magnetization: 0.000 μB/atom

***

First-principles (SCAN) data for a PBEsol-optimized structure of SrZn3Cr, as listed in the Alexandria database.

a b c (Å): 5.5880 5.5880 5.5880
angles (deg): 90.00 90.00 90.00
Atoms (fractional coordinates):
Sr 0.0000 0.0000 0.0000
Zn 0.0000 0.0000 0.5000
Zn 0.0000 0.5000 0.0000
Zn 0.5000 0.0000 0.0000
Cr 0.5000 0.5000 0.5000

* ΔE_f: 1.27 eV per atom
* magnetization: 0.971 μB/atom

***

First-principles (SCAN) data for a PBEsol-optimized structure of LaY2Ru, as listed in the Alexandria database.

a b c (Å): 7.2679 7.2679 7.2679
angles (deg): 90.00 90.00 90.00
Atoms (fractional coordinates):
La 0.0000 0.0000 0.0000
La 0.0000 0.5000 0.5000
La 0.5000 0.0000 0.5000
La 0.5000 0.5000 0.0000
Y 0.0000 0.0000 0.5000
Y 0.0000 0.5000 0.0000
Y 0.2500 0.2500 0.2500
Y 0.2500 0.7500 0.7500
Y 0.5000 0.0000 0.0000
Y 0.5000 0.5000 0.5000
Y 0.7500 0.2500 0.7500
Y 0.7500 0.7500 0.2500
Ru 0.2500 0.2500 0.7500
Ru 0.2500 0.7500 0.2500
Ru 0.7500 0.2500 0.2500
Ru 0.7500 0.7500 0.7500

* distance to the lowest polymorph of the same formula: 399.4 meV/atom
* ΔE_f: 0.13 eV per atom
* magnetization: 0.000 μB/atom

***

First-principles (SCAN) data for a PBEsol-optimized structure of LiCdSe2, as listed in the Alexandria database.

a b c (Å): 3.6594 3.7712 11.6718
angles (deg): 90.00 90.00 90.00
Atoms (fractional coordinates):
Li 0.0000 0.0000 0.0000
Li 0.5000 0.5000 0.5000
Cd 0.0000 0.5000 0.2336
Cd 0.5000 0.0000 0.7336
Se 0.0000 0.0000 0.5573
Se 0.0000 0.5000 0.8332
Se 0.5000 0.0000 0.3332
Se 0.5000 0.5000 0.0573

* formation energy from raw total energies: -0.56 eV/atom
* magnetization: 0.000 μB/atom

***

First-principles (SCAN) data for a PBEsol-optimized structure of Al2TlW, as listed in the Alexandria database.

a b c (Å): 3.4334 3.4334 5.8459
angles (deg): 90.00 90.00 90.00
Atoms (fractional coordinates):
Al 0.0000 0.0000 0.2156
Al 0.0000 0.0000 0.7844
Tl 0.5000 0.5000 0.5000
W 0.5000 0.5000 0.0000

* ΔE_f: 0.27 eV per atom
* magnetization: 0.000 μB/atom

***

First-principles (SCAN) data for a PBEsol-optimized structure of Ni2RhCl, as listed in the Alexandria database.

a b c (Å): 2.7261 4.7856 7.9146
angles (deg): 90.00 90.00 90.00
Atoms (fractional coordinates):
Ni 0.0000 0.0000 0.2396
Ni 0.0000 0.0000 0.7604
Ni 0.5000 0.5000 0.2396
Ni 0.5000 0.5000 0.7604
Rh 0.0000 0.5000 0.5000
Rh 0.5000 0.0000 0.5000
Cl 0.0000 0.5000 0.0000
Cl 0.5000 0.0000 0.0000

* formation energy from raw total energies: 0.38 eV/atom
* distance to the lowest polymorph of the same formula: 0.0 meV/atom
* magnetization: 0.607 μB/atom

***

First-principles (SCAN) data for a PBEsol-optimized structure of Na3Mo15Se19, as listed in the Alexandria database.

a b c (Å): 9.5272 19.6262 9.5802
angles (deg): 90.00 118.58 90.00
Atoms (fractional coordinates):
Na 0.1697 0.1146 0.3364
Na 0.1697 0.3854 0.3364
Na 0.3284 0.2500 0.0420
Na 0.6716 0.7500 0.9580
Na 0.8303 0.6146 0.6636
Na 0.8303 0.8854 0.6636
Mo 0.0018 0.6355 0.3178
Mo 0.0018 0.8645 0.3178
Mo 0.0218 0.7500 0.1728
Mo 0.1510 0.7500 0.4890
Mo 0.1924 0.6343 0.1906
Mo 0.1924 0.8657 0.1906
Mo 0.3117 0.6346 0.5010
Mo 0.3117 0.8654 0.5010
Mo 0.3364 0.7500 0.3467
Mo 0.3380 0.0584 0.9855
Mo 0.3380 0.4416 0.9855
Mo 0.3459 0.5571 0.8307
Mo 0.3459 0.9429 0.8307
Mo 0.4785 0.5562 0.1514
Mo 0.4785 0.9438 0.1514
Mo 0.5215 0.0562 0.8486
Mo 0.5215 0.4438 0.8486
Mo 0.6541 0.0571 0.1693
Mo 0.6541 0.4429 0.1693
Mo 0.6620 0.5584 0.0145
Mo 0.6620 0.9416 0.0145
Mo 0.6636 0.2500 0.6533
Mo 0.6883 0.1346 0.4990
Mo 0.6883 0.3654 0.4990
Mo 0.8076 0.1343 0.8094
Mo 0.8076 0.3657 0.8094
Mo 0.8490 0.2500 0.5110
Mo 0.9782 0.2500 0.8272
Mo 0.9982 0.1355 0.6822
Mo 0.9982 0.3645 0.6822
Se 0.1147 0.1413 0.9912
Se 0.1147 0.3587 0.9912
Se 0.1233 0.6427 0.6260
Se 0.1233 0.8573 0.6260
Se 0.1544 0.2500 0.6891
Se 0.1679 0.5327 0.3371
Se 0.1679 0.9673 0.3371
Se 0.1732 0.5469 0.9685
Se 0.1732 0.9531 0.9685
Se 0.2048 0.7500 0.0447
Se 0.2139 0.0500 0.6782
Se 0.2139 0.4500 0.6782
Se 0.4539 0.7500 0.6470
Se 0.4644 0.0522 0.2911
Se 0.4644 0.4478 0.2911
Se 0.4788 0.6585 0.9983
Se 0.4788 0.8415 0.9983
Se 0.4989 0.6426 0.3735
Se 0.4989 0.8574 0.3735
Se 0.5011 0.1426 0.6265
Se 0.5011 0.3574 0.6265
Se 0.5212 0.1585 0.0017
Se 0.5212 0.3415 0.0017
Se 0.5356 0.5522 0.7089
Se 0.5356 0.9478 0.7089
Se 0.5461 0.2500 0.3530
Se 0.7861 0.5500 0.3218
Se 0.7861 0.9500 0.3218
Se 0.7952 0.2500 0.9553
Se 0.8268 0.0469 0.0315
Se 0.8268 0.4531 0.0315
Se 0.8321 0.0327 0.6629
Se 0.8321 0.4673 0.6629
Se 0.8456 0.7500 0.3109
Se 0.8767 0.1427 0.3740
Se 0.8767 0.3573 0.3740
Se 0.8853 0.6413 0.0088
Se 0.8853 0.8587 0.0088

* formation energy from raw total energies: -0.65 eV/atom
* magnetization: 0.000 μB/atom

***

First-principles (SCAN) data for a PBEsol-optimized structure of ZrFe4Cu, as listed in the Alexandria database.

a b c (Å): 4.7287 4.7287 4.7287
angles (deg): 60.00 60.00 60.00
Atoms (fractional coordinates):
Zr 0.0000 0.0000 0.0000
Fe 0.1284 0.6239 0.6239
Fe 0.6239 0.1284 0.6239
Fe 0.6239 0.6239 0.1284
Fe 0.6239 0.6239 0.6239
Cu 0.2500 0.2500 0.2500

* ΔE_f: -0.04 eV per atom
* magnetization: 1.381 μB/atom

***

First-principles (SCAN) data for a PBEsol-optimized structure of RuPt2, as listed in the Alexandria database.

a b c (Å): 3.8426 11.6577 3.8535
angles (deg): 90.00 90.00 90.00
Atoms (fractional coordinates):
Ru 0.0000 0.0789 0.2500
Ru 0.0000 0.9211 0.7500
Ru 0.5000 0.4211 0.7500
Ru 0.5000 0.5789 0.2500
Pt 0.0000 0.2519 0.7500
Pt 0.0000 0.4201 0.2500
Pt 0.0000 0.5799 0.7500
Pt 0.0000 0.7481 0.2500
Pt 0.5000 0.0799 0.7500
Pt 0.5000 0.2481 0.2500
Pt 0.5000 0.7519 0.7500
Pt 0.5000 0.9201 0.2500

* ΔE_f: 0.01 eV per atom
* magnetization: 0.000 μB/atom

***

First-principles (SCAN) data for a PBEsol-optimized structure of CdCoAg2, as listed in the Alexandria database.

a b c (Å): 2.9305 4.6619 9.2436
angles (deg): 90.00 90.00 90.00
Atoms (fractional coordinates):
Cd 0.0000 0.0000 0.0000
Cd 0.5000 0.5000 0.5000
Co 0.0000 0.5000 0.7397
Co 0.5000 0.0000 0.2397
Ag 0.0000 0.0000 0.4744
Ag 0.0000 0.5000 0.2362
Ag 0.5000 0.0000 0.7362
Ag 0.5000 0.5000 0.9744

* ΔE_f: 0.28 eV per atom
* magnetization: 0.458 μB/atom

***

First-principles (SCAN) data for a PBEsol-optimized structure of Zr2AlAgBi, as listed in the Alexandria database.

a b c (Å): 5.1203 5.1203 5.2795
angles (deg): 90.00 90.00 90.00
Atoms (fractional coordinates):
Zr 0.0000 0.5000 0.0000
Zr 0.5000 0.0000 0.0000
Al 0.0000 0.0000 0.5000
Ag 0.5000 0.5000 0.0000
Bi 0.5000 0.5000 0.5000

* ΔE_f: 0.94 eV per atom
* magnetization: 0.000 μB/atom

***

First-principles (SCAN) data for a PBEsol-optimized structure of Co2ReMo, as listed in the Alexandria database.

a b c (Å): 3.0531 3.0531 5.3598
angles (deg): 90.00 90.00 90.00
Atoms (fractional coordinates):
Co 0.0000 0.0000 0.0000
Co 0.5000 0.5000 0.2302
Re 0.5000 0.5000 0.7661
Mo 0.0000 0.0000 0.4643

* distance to the lowest polymorph of the same formula: 91.1 meV/atom
* ΔE_f: 0.18 eV per atom
* magnetization: 0.080 μB/atom